A plane-wave DFT calculation with PBE+U was carried out for Be2V2CrO6 after structural relaxation.

Lattice parameters (Å, degrees): 4.8391 4.8391 4.9443 90.00 90.00 120.00
Last column: nearest neighbours and their distance in Å.
Space group P-3 (No. 147)
Unique sites:
Be 0.3333 0.6667 0.4820 (multiplicity 2)  6 O 1.81-1.95
V 0.3333 0.6667 0.9901 (multiplicity 2)  6 O 2.09-2.12
Cr 0.0000 0.0000 0.5000 (multiplicity 1)  6 O 2.03
O 0.0065 0.6446 0.2861 (multiplicity 6)  2 Be 1.81-1.95

Values from the calculation:
mass density: 4.437 Mg/m³
DOS at the Fermi energy: 0.17 states/eV per atom
uncorrected energy: -7.36 eV per atom